A geometry-optimized ErMgI2 structure, computed with PBE-GGA.

## Properties
M_tot   0.0 μB per formula unit
Final energy   -10.76 eV for the cell shown
Space group   R-3m

Cell lengths 10.124, 10.124, 10.124 Å; angles 22.76, 22.76, 22.76 degrees
Positions (direct):
Er1 0.000 0.000 0.000
Mg1 0.500 0.500 0.500
I1 0.105 0.105 0.105
I2 0.895 0.895 0.895